Compound: Pm3Er2ScSe6
Source: Alexandria via LeMat-Bulk
Functional: GGA-PBE
Structure: optimized geometry

Cell and atoms, written as extended XYZ:
```
12
Lattice="4.0501 0.0000 0.0000 0.0000 8.2825 0.1813 -2.0250 -2.5059 8.6158" Properties=species:S:1:pos:R:3 pbc="T T T"
Er 2.0250 3.8613 5.8862
Er 0.0000 1.9154 2.9108
Se 2.0250 3.8541 8.7230
Se 2.0250 -0.0562 2.7646
Se 0.0000 5.8328 6.0325
Se 2.0250 3.9079 3.0393
Se 0.0000 1.9225 0.0741
Se 0.0000 1.8688 5.7578
Pm 2.0250 -0.2991 5.7430
Pm 2.0250 4.1412 0.0906
Pm 0.0000 6.0758 3.0540
Sc 2.0250 0.0000 0.0000
```

Output
Formation energy (no corrections) (eV per atom): -1.75
Space-group type: C2/m (12)



Compound: PmEr2Sc3Se6
Source: Alexandria via LeMat-Bulk
Functional: GGA-PBE
Structure: optimized geometry

Cell and atoms, written as extended XYZ:
```
12
Lattice="-0.7345 -1.0226 3.7643 3.9871 -6.8615 -1.0860 6.5341 5.9959 0.8111" Properties=species:S:1:pos:R:3 pbc="T T T"
Se 5.7608 0.8567 1.3568
Se 2.1039 0.8512 2.7345
Se 2.9470 -5.0055 -0.7847
Se 7.6829 -2.7395 0.7550
Se 4.0259 -2.7450 2.1326
Se 6.8397 3.1172 4.2741
Pm -0.3673 -0.5113 1.8821
Sc 1.6263 -3.9421 1.3392
Sc 5.3341 -3.9508 -0.0324
Sc 4.4526 2.0626 3.5218
Er 6.4477 -1.4285 2.9628
Er 3.3390 -0.4597 0.5266
```

Output
Formation energy (no corrections) (eV per atom): -1.66
Space-group type: C2/m (12)



Compound: PmErSc2Se4
Source: Alexandria via LeMat-Bulk
Functional: GGA-PBE
Structure: optimized geometry

Cell and atoms, written as extended XYZ:
```
8
Lattice="-1.6830 3.1105 1.7711 -5.4997 -0.5549 -4.2515 -4.6845 -4.1958 2.9175" Properties=species:S:1:pos:R:3 pbc="T T T"
Er -5.0920 -2.3754 -0.6670
Se -4.1765 1.8763 1.5691
Se -7.6906 -3.5166 -1.1320
Se -6.2329 0.0760 -1.6397
Se -5.6342 -1.7162 2.0768
Sc -3.1837 -0.5427 2.3443
Sc -4.6845 -4.1958 2.9175
Pm -3.5913 1.2778 -1.2402
```

Output
Formation energy (no corrections) (eV per atom): -1.67
Space-group type: P2/m (10)



Compound: PmEr2ScSe6
Source: Alexandria via LeMat-Bulk
Functional: GGA-PBE
Structure: optimized geometry

Cell and atoms, written as extended XYZ:
```
10
Lattice="-1.4232 5.6103 -4.1563 1.6921 -0.1712 -6.9195 -5.6791 -0.6508 -5.0410" Properties=species:S:1:pos:R:3 pbc="T T T"
Er -2.4265 2.5133 -7.9934
Er -5.4842 -0.5676 -4.9957
Se -1.7180 4.9620 -9.2326
Se -5.1034 3.5052 -7.6536
Se -3.6559 1.6433 -10.4416
Se -0.1474 0.9534 -8.6293
Se -1.8629 3.1405 -5.2878
Se -3.7915 0.1396 -7.1169
Pm -2.9294 4.0726 -11.8237
Sc -0.1089 1.7282 -3.7380
```

Output
Formation energy (no corrections) (eV per atom): -1.79
Space-group type: R3 (146)



- Which of these has the lowest formation energy (no corrections)?
  PmEr2ScSe6



- What is the formula in the second record?
  PmEr2Sc3Se6



Copy entry 3 word for word.
Compound: PmErSc2Se4
Source: Alexandria via LeMat-Bulk
Functional: GGA-PBE
Structure: optimized geometry

Cell and atoms, written as extended XYZ:
```
8
Lattice="-1.6830 3.1105 1.7711 -5.4997 -0.5549 -4.2515 -4.6845 -4.1958 2.9175" Properties=species:S:1:pos:R:3 pbc="T T T"
Er -5.0920 -2.3754 -0.6670
Se -4.1765 1.8763 1.5691
Se -7.6906 -3.5166 -1.1320
Se -6.2329 0.0760 -1.6397
Se -5.6342 -1.7162 2.0768
Sc -3.1837 -0.5427 2.3443
Sc -4.6845 -4.1958 2.9175
Pm -3.5913 1.2778 -1.2402
```

Output
Formation energy (no corrections) (eV per atom): -1.67
Space-group type: P2/m (10)